(1)
An optimized crystal structure of Mg5H2Ir3. Source: Alexandria via LeMat-Bulk, functional GGA-PBE.

a = 6.676 Å, b = 4.516 Å, c = 4.516 Å
α = 89.98°, β = 90.02°, γ = 90.02°
Element x y z (fractional)
1 Mg 0.840 0.342 0.079
2 Mg 0.384 0.841 0.579
3 Mg 0.384 0.342 0.079
4 Mg 0.081 0.842 0.080
5 Mg 0.840 0.841 0.579
6 H 0.356 0.340 0.578
7 H 0.373 0.840 0.078
8 Ir 0.627 0.341 0.579
9 Ir 0.625 0.841 0.079
10 Ir 0.093 0.341 0.578

Summary:
The calculation puts the calculated total energy at -0.324 Ry/atom. The distance to the lowest polymorph of the same formula is 0.0274 eV/atom.

***

(2)
An optimized crystal structure of Mg5HIr2. Source: Alexandria via LeMat-Bulk, functional GGA-PBE.

a = 4.374 Å, b = 4.873 Å, c = 7.407 Å
α = 107.43°, β = 107.12°, γ = 63.35°
Element x y z (fractional)
1 Mg 0.713 0.731 0.905
2 Mg 0.952 0.048 0.699
3 Mg 0.234 0.308 0.523
4 Mg 0.450 0.635 0.288
5 Mg 0.085 0.186 0.103
6 H 0.955 0.745 0.434
7 Ir 0.766 0.016 0.299
8 Ir 0.402 0.353 0.906

Summary:
The calculation puts the calculated total energy at -0.290 Ry/atom. The distance to the lowest polymorph of the same formula is 0.0000 eV/atom.

***

Question: Among the records above, which one has the lowest distance to the lowest polymorph of the same formula?
Answer: Mg5HIr2